Entry 1:
ScNb2Ga2: optimized geometry, PBE-GGA.

Results
Calculated formation energy: -0.164 eV/atom
Energy relative to the lowest polymorph listed for this composition: 188 meV/atom
Spin magnetization: 0.701 μB/cell

Unit cell a=8.0389 b=8.0389 c=2.8745 alpha=90.00 beta=90.00 gamma=90.00
Fractional coordinates of all 10 atoms:
Sc1 0.0000 0.0000 0.0000
Sc2 0.5000 0.5000 0.0000
Nb1 0.1176 0.3824 0.0000
Nb2 0.3824 0.8824 0.0000
Nb3 0.6176 0.1176 0.0000
Nb4 0.8824 0.6176 0.0000
Ga1 0.1785 0.6785 0.5000
Ga2 0.3215 0.1785 0.5000
Ga3 0.6785 0.8215 0.5000
Ga4 0.8215 0.3215 0.5000

Entry 2:
BaEu2Bi: optimized geometry, PBE-GGA.

Results
Calculated formation energy: -0.439 eV/atom
Energy relative to the lowest polymorph listed for this composition: 0 meV/atom
Spin magnetization: 14.753 μB/cell

Unit cell a=5.3130 b=5.3130 c=5.4500 alpha=90.00 beta=90.00 gamma=90.00
Fractional coordinates of all 4 atoms:
Ba1 0.0000 0.0000 0.0000
Eu1 0.0000 0.5000 0.5000
Eu2 0.5000 0.0000 0.5000
Bi1 0.5000 0.5000 0.0000

Entry 3:
SrTaCo2Ni: optimized geometry, PBE-GGA.

Results
Calculated formation energy: 2.689 eV/atom
Spin magnetization: 2.007 μB/cell

Unit cell a=4.4343 b=4.4343 c=5.1069 alpha=90.00 beta=90.00 gamma=90.00
Fractional coordinates of all 5 atoms:
Sr1 0.0000 0.0000 0.0000
Ta1 0.0000 0.0000 0.5000
Co1 0.0000 0.5000 0.0000
Co2 0.5000 0.0000 0.0000
Ni1 0.5000 0.5000 0.5000